No. 1
A plane-wave DFT calculation with PBE-GGA was carried out for an optimized crystal structure of RbHPdF6.

Unit cell a=4.832 b=5.723 c=5.730 alpha=76.10 beta=65.45 gamma=78.41
Space group P1 (No. 1)
Asymmetric unit:
1 Rb 0.000 0.000 0.000
2 H 0.125 0.351 0.359
3 Pd 0.491 0.521 0.515
4 F 0.083 0.609 0.738
5 F 0.326 0.270 0.422
6 F 0.441 0.754 0.223
7 F 0.545 0.279 0.801
8 F 0.623 0.771 0.598
9 F 0.931 0.417 0.281

## Properties
* calculated volume: 138.97 Å³/cell
* size of the total moment: 0.0000 μB per atom
* uncorrected energy: -36.4 eV per formula unit

=====

No. 2
A plane-wave DFT calculation with PBE-GGA was carried out for an optimized crystal structure of CaPtW.

Unit cell a=3.101 b=5.699 c=7.663 alpha=98.91 beta=90.10 gamma=105.75
Space group P1 (No. 1)
Asymmetric unit:
1 Ca 0.000 0.000 0.000
2 Ca 0.228 0.457 0.674
3 Pt 0.494 0.990 0.674
4 Pt 0.621 0.243 0.342
5 W 0.278 0.562 0.189
6 W 0.914 0.833 0.385

## Properties
* calculated volume: 128.61 Å³/cell
* size of the total moment: 0.0000 μB per atom
* DFT formation energy: -0.010 eV/atom

=====

No. 3
A plane-wave DFT calculation with PBE-GGA was carried out for an optimized crystal structure of MgTcHg2.

Unit cell a=9.662 b=2.950 c=5.447 alpha=90.00 beta=99.77 gamma=90.00
Space group C2/m (No. 12)
Asymmetric unit:
1 Mg 0.000 0.000 0.000
2 Tc 0.000 0.500 0.500
3 Hg 0.247 0.000 0.740

## Properties
* calculated volume: 153.00 Å³/cell
* size of the total moment: 0.0001 μB per atom
* DFT formation energy: 0.362 eV/atom